Arrangement one

Material: KPb2W
Method: DFT, PBEsol
State: relaxed

Values from the calculation:
Calculated density   11.09 g/cm3
Total magnetization   0.02 μB/f.u.
Crystal system   orthorhombic

a = 5.724 Å, b = 5.724 Å, c = 3.034 Å
α = 90.00°, β = 90.00°, γ = 106.23°
Positions (direct):
K: 0.000 0.000 0.000
Pb: 0.000 0.500 0.500
Pb: 0.500 0.000 0.500
W: 0.500 0.500 0.000



Arrangement two

Material: KPb2W
Method: DFT, PBEsol
State: relaxed

Values from the calculation:
Calculated density   8.89 g/cm3
Total magnetization   0.00 μB/f.u.
Crystal system   tetragonal

a = 3.770 Å, b = 3.770 Å, c = 8.374 Å
α = 90.00°, β = 90.00°, γ = 90.00°
Positions (direct):
K: 0.000 0.000 0.000
Pb: 0.000 0.000 0.588
Pb: 0.500 0.500 0.314
W: 0.500 0.500 0.652



Arrangement three

Material: KPb2W
Method: DFT, PBEsol
State: relaxed

Values from the calculation:
Calculated density   10.71 g/cm3
Total magnetization   0.00 μB/f.u.
Crystal system   trigonal

a = 10.395 Å, b = 10.395 Å, c = 10.395 Å
α = 18.50°, β = 18.50°, γ = 18.50°
Positions (direct):
K: 0.000 0.000 0.000
Pb: 0.238 0.238 0.238
Pb: 0.762 0.762 0.762
W: 0.500 0.500 0.500



Result of the stability comparison: arrangement one is the least stable of them.



Arrangement one

Material: KYPb2
Method: DFT, PBEsol
State: relaxed

Values from the calculation:
Calculated density   7.16 g/cm3
Total magnetization   0.00 μB/f.u.
Crystal system   orthorhombic

a = 3.565 Å, b = 4.554 Å, c = 7.747 Å
α = 90.00°, β = 90.00°, γ = 90.00°
Positions (direct):
K: 0.000 0.000 0.000
Y: 0.000 0.000 0.500
Pb: 0.500 0.500 0.299
Pb: 0.500 0.500 0.701



Arrangement two

Material: KYPb2
Method: DFT, PBEsol
State: relaxed

Values from the calculation:
Calculated density   7.55 g/cm3
Total magnetization   0.00 μB/f.u.
Crystal system   tetragonal

a = 6.435 Å, b = 6.435 Å, c = 6.435 Å
α = 137.70°, β = 137.70°, γ = 61.36°
Positions (direct):
K: 0.000 0.000 0.000
Y: 0.250 0.750 0.500
Pb: 0.500 0.500 0.000
Pb: 0.750 0.250 0.500



Result of the stability comparison: arrangement two is the least stable of them.



Arrangement one

Material: KYPb2
Method: DFT, PBEsol
State: relaxed

Values from the calculation:
Calculated density   7.53 g/cm3
Total magnetization   0.00 μB/f.u.
Crystal system   tetragonal

a = 3.475 Å, b = 3.475 Å, c = 9.905 Å
α = 90.00°, β = 90.00°, γ = 90.00°
Positions (direct):
K: 0.000 0.000 0.000
Y: 0.000 0.000 0.500
Pb: 0.500 0.500 0.273
Pb: 0.500 0.500 0.727



Arrangement two

Material: KYPb2
Method: DFT, PBEsol
State: relaxed

Values from the calculation:
Calculated density   7.55 g/cm3
Total magnetization   0.00 μB/f.u.
Crystal system   cubic

a = 5.526 Å, b = 5.526 Å, c = 5.526 Å
α = 60.00°, β = 60.00°, γ = 60.00°
Positions (direct):
K: 0.000 0.000 0.000
Y: 0.500 0.500 0.500
Pb: 0.250 0.250 0.250
Pb: 0.750 0.750 0.750



Result of the stability comparison: arrangement two is the least stable of them.



Arrangement one

Material: K2Zn2Pb
Method: DFT, PBEsol
State: relaxed

Values from the calculation:
Calculated density   4.69 g/cm3
Total magnetization   0.00 μB/f.u.
Crystal system   tetragonal

a = 11.877 Å, b = 11.877 Å, c = 11.877 Å
α = 162.75°, β = 162.75°, γ = 24.48°
Positions (direct):
K: 0.116 0.116 0.000
K: 0.884 0.884 0.000
Zn: 0.250 0.750 0.500
Zn: 0.750 0.250 0.500
Pb: 0.500 0.500 0.000



Arrangement two

Material: K2Zn2Pb
Method: DFT, PBEsol
State: relaxed

Values from the calculation:
Calculated density   4.55 g/cm3
Total magnetization   0.00 μB/f.u.
Crystal system   tetragonal

a = 7.542 Å, b = 7.542 Å, c = 7.542 Å
α = 143.37°, β = 143.37°, γ = 52.77°
Positions (direct):
K: 0.250 0.750 0.500
K: 0.750 0.250 0.500
Zn: 0.088 0.088 0.000
Zn: 0.912 0.912 0.000
Pb: 0.500 0.500 0.000



Result of the stability comparison: arrangement two is the least stable of them.



Arrangement one

Material: KRe2Pt
Method: DFT, PBEsol
State: relaxed

Values from the calculation:
Calculated density   15.00 g/cm3
Total magnetization   0.00 μB/f.u.
Crystal system   monoclinic

a = 5.732 Å, b = 5.732 Å, c = 2.609 Å
α = 98.80°, β = 98.80°, γ = 124.06°
Positions (direct):
K: 0.000 0.000 0.000
Re: 0.000 0.500 0.500
Re: 0.500 0.000 0.500
Pt: 0.500 0.500 0.000



Arrangement two

Material: KRe2Pt
Method: DFT, PBEsol
State: relaxed

Values from the calculation:
Calculated density   14.31 g/cm3
Total magnetization   0.00 μB/f.u.
Crystal system   tetragonal

a = 2.650 Å, b = 2.650 Å, c = 10.021 Å
α = 90.00°, β = 90.00°, γ = 90.00°
Positions (direct):
K: 0.000 0.000 0.000
Re: 0.500 0.500 0.294
Re: 0.500 0.500 0.706
Pt: 0.000 0.000 0.500



Arrangement three

Material: KRe2Pt
Method: DFT, PBEsol
State: relaxed

Values from the calculation:
Calculated density   12.48 g/cm3
Total magnetization   0.00 μB/f.u.
Crystal system   orthorhombic

a = 2.678 Å, b = 3.857 Å, c = 7.815 Å
α = 90.00°, β = 90.00°, γ = 90.00°
Positions (direct):
K: 0.000 0.000 0.000
Re: 0.000 0.000 0.495
Re: 0.500 0.500 0.646
Pt: 0.500 0.500 0.309



Result of the stability comparison: arrangement one is the least stable of them.



Arrangement one

Material: KRePt2
Method: DFT, PBEsol
State: relaxed

Values from the calculation:
Calculated density   14.95 g/cm3
Total magnetization   0.00 μB/f.u.
Crystal system   trigonal

a = 10.388 Å, b = 10.388 Å, c = 10.388 Å
α = 15.34°, β = 15.34°, γ = 15.34°
Positions (direct):
K: 0.000 0.000 0.000
Re: 0.234 0.234 0.234
Pt: 0.498 0.498 0.498
Pt: 0.755 0.755 0.755



Arrangement two

Material: KRePt2
Method: DFT, PBEsol
State: relaxed

Values from the calculation:
Calculated density   14.97 g/cm3
Total magnetization   0.00 μB/f.u.
Crystal system   cubic

a = 4.587 Å, b = 4.587 Å, c = 4.587 Å
α = 60.00°, β = 60.00°, γ = 60.00°
Positions (direct):
K: 0.000 0.000 0.000
Re: 0.500 0.500 0.500
Pt: 0.250 0.250 0.250
Pt: 0.750 0.750 0.750



Result of the stability comparison: arrangement two is the least stable of them.



Arrangement one

Material: K2PtRh
Method: DFT, PBEsol
State: relaxed

Values from the calculation:
Calculated density   5.30 g/cm3
Total magnetization   0.00 μB/f.u.
Crystal system   monoclinic

a = 4.628 Å, b = 4.628 Å, c = 9.339 Å
α = 93.50°, β = 93.50°, γ = 36.17°
Positions (direct):
K: 0.000 0.000 0.000
K: 0.221 0.221 0.548
Pt: 0.479 0.479 0.305
Rh: 0.745 0.745 0.245



Arrangement two

Material: K2PtRh
Method: DFT, PBEsol
State: relaxed

Values from the calculation:
Calculated density   5.51 g/cm3
Total magnetization   0.00 μB/f.u.
Crystal system   orthorhombic

a = 2.864 Å, b = 4.116 Å, c = 9.612 Å
α = 90.00°, β = 90.00°, γ = 90.00°
Positions (direct):
K: 0.000 0.000 0.000
K: 0.500 0.500 0.445
Pt: 0.000 0.000 0.687
Rh: 0.500 0.500 0.753



Result of the stability comparison: arrangement one is the least stable of them.



Arrangement one

Material: K2TaPt
Method: DFT, PBEsol
State: relaxed

Values from the calculation:
Calculated density   8.66 g/cm3
Total magnetization   0.00 μB/f.u.
Crystal system   orthorhombic

a = 3.436 Å, b = 4.287 Å, c = 5.912 Å
α = 90.00°, β = 90.00°, γ = 90.00°
Positions (direct):
K: 0.000 0.000 0.000
K: 0.500 0.500 0.000
Ta: 0.000 0.500 0.500
Pt: 0.500 0.000 0.500



Arrangement two

Material: K2TaPt
Method: DFT, PBEsol
State: relaxed

Values from the calculation:
Calculated density   5.63 g/cm3
Total magnetization   0.69 μB/f.u.
Crystal system   orthorhombic

a = 10.499 Å, b = 10.499 Å, c = 10.499 Å
α = 162.60°, β = 157.23°, γ = 28.80°
Positions (direct):
K: 0.145 0.145 0.000
K: 0.855 0.855 0.000
Ta: 0.500 0.000 0.500
Pt: 0.000 0.500 0.500



Arrangement three

Material: K2TaPt
Method: DFT, PBEsol
State: relaxed

Values from the calculation:
Calculated density   8.25 g/cm3
Total magnetization   0.29 μB/f.u.
Crystal system   tetragonal

a = 2.822 Å, b = 2.822 Å, c = 11.478 Å
α = 90.00°, β = 90.00°, γ = 90.00°
Positions (direct):
K: 0.000 0.000 0.216
K: 0.000 0.000 0.784
Ta: 0.500 0.500 0.500
Pt: 0.500 0.500 0.000



Result of the stability comparison: arrangement three is the least stable of them.